The following is a PBE calculation of a geometry-optimized Tl5Cd9 structure, from OQMD.

Computed properties:
Mass density in kg/m³: 8953
Total DFT energy (no corrections) in eV per atom: -1.38

The structure in extended XYZ format:
```
42
Lattice="9.129 0.000 0.000 -4.564 7.906 0.000 0.000 0.000 15.678" Properties=species:S:1:pos:R:3 pbc="T T T"
Tl 0.000 0.000 0.000
Tl -1.103 1.911 2.965
Tl -1.103 1.911 12.713
Tl -2.804 4.857 4.965
Tl -2.804 4.857 10.714
Tl 2.207 0.000 2.965
Tl 2.207 0.000 12.713
Tl 0.000 5.271 7.839
Tl 1.760 3.049 4.965
Tl 1.760 3.049 10.714
Tl 5.608 0.000 4.965
Tl 5.608 0.000 10.714
Tl 4.564 2.635 7.839
Tl 3.461 5.995 2.965
Tl 3.461 5.995 12.713
Cd 0.000 0.000 5.408
Cd 0.000 0.000 10.270
Cd -1.463 2.534 6.278
Cd -1.463 2.534 9.400
Cd -2.736 4.738 1.851
Cd -2.736 4.738 13.827
Cd -3.465 6.001 7.839
Cd -0.419 3.567 0.000
Cd 1.100 1.905 7.839
Cd -1.266 6.485 0.000
Cd 2.926 0.000 6.278
Cd 2.926 0.000 9.400
Cd 0.000 5.271 3.148
Cd 0.000 5.271 12.530
Cd 1.829 3.167 1.851
Cd 1.829 3.167 13.827
Cd 3.298 1.421 0.000
Cd 1.685 5.760 0.000
Cd 5.471 0.000 1.851
Cd 5.471 0.000 13.827
Cd 4.564 2.635 3.148
Cd 4.564 2.635 12.530
Cd 3.102 5.372 6.278
Cd 3.102 5.372 9.400
Cd 4.146 4.339 0.000
Cd 6.930 0.000 7.839
Cd 6.249 2.146 0.000
```

---

The following is a PBE calculation of a geometry-optimized NaNdBeSe3 structure, from OQMD.

Computed properties:
Mass density in kg/m³: 4506
M_tot in μB/f.u.: 0.00
Total DFT energy (no corrections) in eV per atom: -4.68

The structure in extended XYZ format:
```
12
Lattice="2.018 -6.683 0.000 2.018 6.683 0.000 0.000 0.000 11.290" Properties=species:S:1:pos:R:3 pbc="T T T"
Na 2.018 3.386 8.468
Na 2.018 -3.386 2.823
Nd 0.000 0.000 0.000
Nd 0.000 0.000 5.645
Be 2.018 0.497 2.823
Be 2.018 -0.497 8.468
Se 2.018 5.764 2.823
Se 2.018 1.834 1.030
Se 2.018 1.834 4.615
Se 2.018 -1.834 6.675
Se 2.018 -1.834 10.260
Se 2.018 -5.764 8.468
```

---

The following is a PBE calculation of a geometry-optimized Ga2Ag7 structure, from OQMD.

Computed properties:
Mass density in kg/m³: 5927
Total DFT energy (no corrections) in eV per atom: -2.83

The structure in extended XYZ format:
```
9
Lattice="2.917 0.000 0.000 -1.459 2.526 0.000 0.000 0.000 34.005" Properties=species:S:1:pos:R:3 pbc="T T T"
Ga 0.000 1.684 7.277
Ga 1.459 0.842 26.728
Ag 0.000 0.000 9.713
Ag 0.000 0.000 17.002
Ag 0.000 0.000 24.291
Ag 0.000 1.684 14.572
Ag 0.000 1.684 21.848
Ag 1.459 0.842 12.157
Ag 1.459 0.842 19.433
```

---

The following is a PBE calculation of a geometry-optimized LaDyCd6 structure, from OQMD.

Computed properties:
Mass density in kg/m³: 8352
ΔE_f in eV/atom: -0.3063
E above lowest polymorph in eV per atom: 0.0000
M_tot in μB/f.u.: 0.01
Total DFT energy (no corrections) in eV per atom: -2.17

The structure in extended XYZ format:
```
8
Lattice="5.154 0.000 0.000 0.000 5.154 0.000 0.000 0.000 7.305" Properties=species:S:1:pos:R:3 pbc="T T T"
La 0.000 0.000 0.000
Dy 2.577 2.577 3.653
Cd 0.000 0.000 3.653
Cd 0.000 2.577 1.893
Cd 0.000 2.577 5.412
Cd 2.577 0.000 1.893
Cd 2.577 0.000 5.412
Cd 2.577 2.577 0.000
```